(1)
Here is crystalline Y2CoRe at its relaxed geometry from the Alexandria database. Energies are from GGA-PBE.

Summary:
- Final energy: -31.65 eV per cell
- Spin magnetization: 1.07 μB per formula unit
- SG: P4/mmm, No. 123

Unit cell a=3.4147 b=3.4174 c=6.8176 alpha=90.00 beta=90.00 gamma=90.00
With the nearest neighbours (Å) after each atom.
Positions (direct):
Y1 0.0000 0.0000 0.0048  4 Co 2.94, 4 Re 2.98
Re1 0.5000 0.5000 0.7500  8 Y 2.98
Co1 0.5000 0.5000 0.2500  8 Y 2.94
Y2 0.0000 0.0000 0.4952  4 Co 2.94, 4 Re 2.98

***

(2)
Here is crystalline Ba2MgAl2S6 at its relaxed geometry from the Alexandria database. Energies are from GGA-PBE.

Summary:
- Final energy: -52.56 eV per cell
- Spin magnetization: 0.00 μB per formula unit
- SG: R-3m, No. 166
- E_form (uncorrected): -1.35 eV/atom

Unit cell a=7.0370 b=7.0370 c=8.0303 alpha=64.01 beta=64.01 gamma=60.00
With the nearest neighbours (Å) after each atom.
Positions (direct):
S1 0.7574 0.7574 0.2575  1 Al 2.15
S2 0.2426 0.2426 0.7425  1 Al 2.15
Al1 0.4173 0.4173 0.7482  3 S 2.15
Ba1 0.2151 0.2151 0.3547  9 S 3.30-3.58
S3 0.7723 0.2426 0.7425  1 Al 2.15
S4 0.7574 0.2277 0.2575  1 Al 2.15
Al2 0.5827 0.5827 0.2518  3 S 2.15
Ba2 0.7849 0.7849 0.6453  9 S 3.30-3.58
S5 0.2426 0.7723 0.7425  1 Al 2.15
Mg1 0.0000 0.0000 0.0000  6 S 2.61
S6 0.2277 0.7574 0.2575  1 Al 2.15

***

(3)
Here is crystalline CaH3Ir at its relaxed geometry from the Alexandria database. Energies are from GGA-PBE.

Summary:
- Final energy: -88.53 eV per cell
- Spin magnetization: 0.00 μB per formula unit
- SG: Pnma, No. 62

Unit cell a=5.5007 b=6.3550 c=5.8836 alpha=90.00 beta=90.00 gamma=90.00
With the nearest neighbours (Å) after each atom.
Positions (direct):
H1 0.6013 0.0069 0.6221  1 Ir 1.73, 1 H 1.82
H2 0.1013 0.4931 0.8779  1 Ir 1.73, 1 H 1.82
H3 0.3987 0.9931 0.3779  1 Ir 1.73, 1 H 1.82
Ir1 0.4721 0.2500 0.4503  3 H 1.66-1.73
Ir2 0.5279 0.7500 0.5497  3 H 1.66-1.73
H4 0.8987 0.5069 0.1221  1 Ir 1.73, 1 H 1.82
H5 0.7258 0.7500 0.3369  1 Ir 1.66
Ir3 0.9721 0.2500 0.0497  3 H 1.66-1.73
H6 0.2742 0.2500 0.6631  1 Ir 1.66
Ca1 0.0000 0.0000 0.5000  6 H 2.29-2.39
H7 0.2258 0.7500 0.1631  1 Ir 1.66
H8 0.3987 0.5069 0.3779  1 Ir 1.73, 1 H 1.82
H9 0.8987 0.9931 0.1221  1 Ir 1.73, 1 H 1.82
H10 0.6013 0.4931 0.6221  1 Ir 1.73, 1 H 1.82
Ca2 0.5000 0.5000 0.0000  6 H 2.29-2.39
Ca3 0.5000 0.0000 0.0000  6 H 2.29-2.39
H11 0.7742 0.2500 0.8369  1 Ir 1.66
Ca4 0.0000 0.5000 0.5000  6 H 2.29-2.39
Ir4 0.0279 0.7500 0.9503  3 H 1.66-1.73
H12 0.1013 0.0069 0.8779  1 Ir 1.73, 1 H 1.82

***

(4)
Here is crystalline PrSmHgPd at its relaxed geometry from the Alexandria database. Energies are from GGA-PBE.

Summary:
- Final energy: -17.26 eV per cell
- Spin magnetization: 0.00 μB per formula unit
- SG: F-43m, No. 216
- Polymorph energy (0 for the lowest one): 21 meV per atom

Unit cell a=5.2689 b=5.2689 c=5.2689 alpha=60.00 beta=60.00 gamma=60.00
With the nearest neighbours (Å) after each atom.
Positions (direct):
Pd1 0.0000 0.0000 0.0000  4 Sm 3.23, 4 Pr 3.23
Sm1 0.7500 0.7500 0.7500  4 Hg 3.23, 4 Pd 3.23
Pr1 0.2500 0.2500 0.2500  4 Pd 3.23, 4 Hg 3.23
Hg1 0.5000 0.5000 0.5000  4 Pr 3.23, 4 Sm 3.23